Material: Zr2FeCu
Method: DFT, PBE-GGA
State: relaxed

abc: 3.2152 4.5707 4.5707
angles: 90.00 90.00 90.00
Closest atoms and distances in Å follow each position.
Positions (direct):
Cu 0.5000 0.0000 0.0000  8 Zr 2.79
Zr 0.0000 0.0000 0.5000  4 Fe 2.79, 4 Cu 2.79
Zr 0.0000 0.5000 0.0000  4 Fe 2.79, 4 Cu 2.79
Fe 0.5000 0.5000 0.5000  8 Zr 2.79

Values from the calculation:
The calculation puts the total DFT energy (no corrections) at -7.55 eV/atom. The value obtained for the calculated density is 7.462 g/cm³. For the energy of formation, the calculation gives -0.133 eV per atom. The calculation puts the total magnetic moment at 0.047 μB per atom.